Model a:
# PBE-GGA YTeIr3, optimized geometry
# Calculated density = 11.4 Mg/m³
# Magnetization = 0.000 μB/f.u.
data_YTeIr3
_cell_length_a 4.864
_cell_length_b 4.864
_cell_length_c 4.864
_cell_angle_alpha 90.00
_cell_angle_beta 90.00
_cell_angle_gamma 90.00
_symmetry_space_group_name_H-M 'P m -3 m'
_symmetry_Int_Tables_number 221
_symmetry_space_group_name_Hall '-P 4 2 3'
loop_
_atom_site_label
_atom_site_type_symbol
_atom_site_fract_x
_atom_site_fract_y
_atom_site_fract_z
Y1 Y 0.000 0.000 0.000
Te1 Te 0.500 0.500 0.500
Ir1 Ir 0.000 0.500 0.500

=====

Model b:
# PBE-GGA YTeIr3, optimized geometry
# Calculated density = 10.5 Mg/m³
# Magnetization = 1.510 μB/f.u.
data_YTeIr3
_cell_length_a 5.009
_cell_length_b 5.009
_cell_length_c 5.009
_cell_angle_alpha 90.00
_cell_angle_beta 90.00
_cell_angle_gamma 90.00
_symmetry_space_group_name_H-M 'P m -3 m'
_symmetry_Int_Tables_number 221
_symmetry_space_group_name_Hall '-P 4 2 3'
loop_
_atom_site_label
_atom_site_type_symbol
_atom_site_fract_x
_atom_site_fract_y
_atom_site_fract_z
Y1 Y 0.000 0.000 0.000
Te1 Te 0.500 0.500 0.500
Ir1 Ir 0.000 0.000 0.500

=====

Computed energies relative to the best structure, in eV/atom: model a 0.000; model b 1.138

=====

Model a:
# PBE-GGA Y4TeIr, optimized geometry
# Calculated density = 7.0 Mg/m³
# Magnetization = 0.000 μB/f.u.
data_Y4TeIr
_cell_length_a 8.175
_cell_length_b 4.021
_cell_length_c 19.494
_cell_angle_alpha 90.00
_cell_angle_beta 90.00
_cell_angle_gamma 90.00
_symmetry_space_group_name_H-M 'P n m a'
_symmetry_Int_Tables_number 62
loop_
_symmetry_equiv_pos_as_xyz
'x,y,z'
'-x,-y,-z'
'-x+1/2,-y,z+1/2'
'x+1/2,y,-z+1/2'
'x+1/2,-y+1/2,-z+1/2'
'-x+1/2,y+1/2,z+1/2'
'-x,y+1/2,-z'
'x,-y+1/2,z'
loop_
_atom_site_label
_atom_site_type_symbol
_atom_site_fract_x
_atom_site_fract_y
_atom_site_fract_z
Y1 Y 0.001 0.250 0.068
Y2 Y 0.038 0.750 0.216
Y3 Y 0.139 0.750 0.451
Y4 Y 0.143 0.750 0.647
Te1 Te 0.239 0.250 0.310
Ir1 Ir 0.243 0.250 0.548

=====

Model b:
# PBE-GGA Y4TeIr, optimized geometry
# Calculated density = 6.1 Mg/m³
# Magnetization = 0.000 μB/f.u.
data_Y4TeIr
_cell_length_a 9.035
_cell_length_b 14.454
_cell_length_c 6.893
_cell_angle_alpha 90.00
_cell_angle_beta 124.88
_cell_angle_gamma 90.00
_symmetry_space_group_name_H-M 'C 1 2/c 1'
_symmetry_Int_Tables_number 15
loop_
_symmetry_equiv_pos_as_xyz
'x,y,z'
'-x,-y,-z'
'-x,y,-z+1/2'
'x,-y,z+1/2'
'x+1/2,y+1/2,z'
'-x+1/2,-y+1/2,-z'
'-x+1/2,y+1/2,-z+1/2'
'x+1/2,-y+1/2,z+1/2'
loop_
_atom_site_label
_atom_site_type_symbol
_atom_site_fract_x
_atom_site_fract_y
_atom_site_fract_z
Y1 Y 0.126 0.210 0.106
Y2 Y 0.227 0.045 0.730
Te1 Te 0.000 0.386 0.750
Ir1 Ir 0.000 0.076 0.250

=====

Computed energies relative to the best structure, in eV/atom: model a 0.000; model b 0.165

=====

Model a:
# PBE-GGA Y3TeIr, optimized geometry
# Calculated density = 6.2 Mg/m³
# Magnetization = 0.000 μB/f.u.
data_Y3TeIr
_cell_length_a 5.400
_cell_length_b 5.400
_cell_length_c 5.400
_cell_angle_alpha 90.00
_cell_angle_beta 90.00
_cell_angle_gamma 90.00
_symmetry_space_group_name_H-M 'P m -3 m'
_symmetry_Int_Tables_number 221
_symmetry_space_group_name_Hall '-P 4 2 3'
loop_
_atom_site_label
_atom_site_type_symbol
_atom_site_fract_x
_atom_site_fract_y
_atom_site_fract_z
Y1 Y 0.000 0.000 0.500
Te1 Te 0.500 0.500 0.500
Ir1 Ir 0.000 0.000 0.000

=====

Model b:
# PBE-GGA Y3TeIr, optimized geometry
# Calculated density = 7.2 Mg/m³
# Magnetization = 0.000 μB/f.u.
data_Y3TeIr
_cell_length_a 7.620
_cell_length_b 4.289
_cell_length_c 16.662
_cell_angle_alpha 90.00
_cell_angle_beta 90.00
_cell_angle_gamma 90.00
_symmetry_space_group_name_H-M 'P n m a'
_symmetry_Int_Tables_number 62
loop_
_symmetry_equiv_pos_as_xyz
'x,y,z'
'-x,-y,-z'
'-x+1/2,-y,z+1/2'
'x+1/2,y,-z+1/2'
'x+1/2,-y+1/2,-z+1/2'
'-x+1/2,y+1/2,z+1/2'
'-x,y+1/2,-z'
'x,-y+1/2,z'
loop_
_atom_site_label
_atom_site_type_symbol
_atom_site_fract_x
_atom_site_fract_y
_atom_site_fract_z
Y1 Y 0.016 0.250 0.091
Y2 Y 0.136 0.750 0.448
Y3 Y 0.177 0.250 0.707
Te1 Te 0.124 0.250 0.300
Ir1 Ir 0.242 0.750 0.043

=====

Computed energies relative to the best structure, in eV/atom: model a 0.350; model b 0.000

=====

Model a:
# PBE-GGA ZnTeIr, optimized geometry
# Calculated density = 10.2 Mg/m³
# Magnetization = 0.000 μB/f.u.
data_ZnTeIr
_cell_length_a 11.142
_cell_length_b 3.089
_cell_length_c 7.281
_cell_angle_alpha 90.00
_cell_angle_beta 90.00
_cell_angle_gamma 90.00
_symmetry_space_group_name_H-M 'A m m 2'
_symmetry_Int_Tables_number 38
loop_
_symmetry_equiv_pos_as_xyz
'x,y,z'
'-x,-y,z'
'-x,y,z'
'x,-y,z'
'x,y+1/2,z+1/2'
'-x,-y+1/2,z+1/2'
'-x,y+1/2,z+1/2'
'x,-y+1/2,z+1/2'
loop_
_atom_site_label
_atom_site_type_symbol
_atom_site_fract_x
_atom_site_fract_y
_atom_site_fract_z
Zn1 Zn 0.126 0.000 0.000
Te1 Te 0.349 0.000 0.376
Ir1 Ir 0.000 0.000 0.703
Ir2 Ir 0.500 0.000 0.659

=====

Model b:
# PBE-GGA ZnTeIr, optimized geometry
# Calculated density = 11.0 Mg/m³
# Magnetization = 0.000 μB/f.u.
data_ZnTeIr
_cell_length_a 3.095
_cell_length_b 3.095
_cell_length_c 12.172
_cell_angle_alpha 90.00
_cell_angle_beta 90.00
_cell_angle_gamma 90.00
_symmetry_space_group_name_H-M 'I 4 m m'
_symmetry_Int_Tables_number 107
_symmetry_space_group_name_Hall 'I 4 -2'
loop_
_atom_site_label
_atom_site_type_symbol
_atom_site_fract_x
_atom_site_fract_y
_atom_site_fract_z
Zn1 Zn 0.000 0.000 0.000
Te1 Te 0.000 0.000 0.727
Ir1 Ir 0.000 0.000 0.377

=====

Model c:
# PBE-GGA ZnTeIr, optimized geometry
# Calculated density = 11.9 Mg/m³
# Magnetization = 0.000 μB/f.u.
data_ZnTeIr
_cell_length_a 3.612
_cell_length_b 3.612
_cell_length_c 8.249
_cell_angle_alpha 90.00
_cell_angle_beta 90.00
_cell_angle_gamma 90.00
_symmetry_space_group_name_H-M 'I 4 m m'
_symmetry_Int_Tables_number 107
_symmetry_space_group_name_Hall 'I 4 -2'
loop_
_atom_site_label
_atom_site_type_symbol
_atom_site_fract_x
_atom_site_fract_y
_atom_site_fract_z
Zn1 Zn 0.000 0.000 0.000
Te1 Te 0.000 0.000 0.325
Ir1 Ir 0.000 0.000 0.660

=====

Model d:
# PBE-GGA ZnTeIr, optimized geometry
# Calculated density = 10.0 Mg/m³
# Magnetization = 0.000 μB/f.u.
data_ZnTeIr
_cell_length_a 3.6228
_cell_length_b 3.6228
_cell_length_c 5.6325
_cell_angle_alpha 90.00
_cell_angle_beta 90.00
_cell_angle_gamma 120.00
_symmetry_space_group_name_H-M 'P 3 m 1'
_symmetry_Int_Tables_number 156
loop_
_symmetry_equiv_pos_as_xyz
'x,y,z'
'-y,x-y,z'
'-x+y,-x,z'
'-y,-x,z'
'-x+y,y,z'
'x,x-y,z'
loop_
_atom_site_label
_atom_site_type_symbol
_atom_site_fract_x
_atom_site_fract_y
_atom_site_fract_z
Zn1 Zn 0.0000 0.0000 0.0000
Te1 Te 0.6667 0.3333 0.5575
Ir1 Ir 0.3333 0.6667 0.2863

=====

Computed energies relative to the best structure, in eV/atom: model a 0.090; model b 0.046; model c 0.098; model d 0.000